(1)
Pr3Ho4In2 | GGA-PBE | relaxed

- V (A^3/atom) = 31.89
- N(E_F) (states/eV/atom) = 1.255
- formation energy from the elements (eV per atom) = -0.11
- SG = C2/c, No. 15

a = 6.5245 Å, b = 9.4030 Å, c = 9.4030 Å
α = 92.07°, β = 86.38°, γ = 86.38°
Closest atoms and distances in Å follow each position.
Atoms (fractional coordinates):
Pr 0.5923 0.8193 0.9584  2 In 3.24, 2 Ho 3.52-3.58, 1 Pr 3.57
Ho 0.9088 0.8250 0.4782  2 In 3.23-3.44, 2 Pr 3.41-3.52, 1 Ho 3.59
Ho 0.5912 0.5218 0.1750  2 In 3.23-3.44, 2 Pr 3.41-3.52, 1 Ho 3.59
Ho 0.0912 0.1750 0.5218  2 In 3.23-3.44, 2 Pr 3.41-3.52, 1 Ho 3.59
In 0.5367 0.2201 0.3668  4 Ho 3.16-3.44, 4 Pr 3.19-3.46
Ho 0.4088 0.4782 0.8250  2 In 3.23-3.44, 2 Pr 3.41-3.52, 1 Ho 3.59
Pr 0.2500 0.5344 0.4656  4 In 3.19-3.46, 2 Pr 3.39, 2 Ho 3.41
In 0.0367 0.3668 0.2201  4 Ho 3.16-3.44, 4 Pr 3.19-3.46
Pr 0.4077 0.1807 0.0416  2 In 3.24, 2 Ho 3.52-3.58, 1 Pr 3.57
Pr 0.0923 0.9584 0.8193  2 In 3.24, 2 Ho 3.52-3.58, 1 Pr 3.57
Pr 0.9077 0.0416 0.1807  2 In 3.24, 2 Ho 3.52-3.58, 1 Pr 3.57
Ho 0.5861 0.1070 0.6764  2 In 3.16-3.25
Pr 0.7500 0.4656 0.5344  4 In 3.19-3.46, 2 Pr 3.39, 2 Ho 3.41
Ho 0.4139 0.8930 0.3236  2 In 3.16-3.25
Ho 0.0861 0.6764 0.1070  2 In 3.16-3.25
Ho 0.9139 0.3236 0.8930  2 In 3.16-3.25
In 0.9633 0.6332 0.7799  4 Ho 3.16-3.44, 4 Pr 3.19-3.46
In 0.4633 0.7799 0.6332  4 Ho 3.16-3.44, 4 Pr 3.19-3.46

=====

(2)
LiTlSnHg | GGA-PBE | relaxed

- E above lowest polymorph (meV/atom) = 41
- V (A^3/atom) = 24.66
- N(E_F) (states/eV/atom) = 0.367
- formation energy from the elements (eV per atom) = -0.10
- SG = F-43m, No. 216

a = 5.1860 Å, b = 5.1860 Å, c = 5.1860 Å
α = 60.00°, β = 60.00°, γ = 60.00°
Closest atoms and distances in Å follow each position.
Atoms (fractional coordinates):
Hg 0.5000 0.5000 0.5000  4 Sn 3.18, 4 Li 3.18
Tl 0.0000 0.0000 0.0000  4 Li 3.18, 4 Sn 3.18
Li 0.7500 0.7500 0.7500  4 Hg 3.18, 4 Tl 3.18
Sn 0.2500 0.2500 0.2500  4 Tl 3.18, 4 Hg 3.18

=====

(3)
Te2BrO5 | GGA-PBE | relaxed

- raw total energy (eV per atom) = -4.465
- V (A^3/atom) = 14.51
- N(E_F) (states/eV/atom) = 0.291
- SG = Immm, No. 71

a = 3.7650 Å, b = 6.7568 Å, c = 6.7568 Å
α = 45.09°, β = 73.82°, γ = 73.82°
Closest atoms and distances in Å follow each position.
Atoms (fractional coordinates):
O 0.6849 0.0787 0.5516  3 Te 2.04-2.25
O 0.6849 0.5516 0.0787  3 Te 2.04-2.25
O 0.3151 0.9213 0.4484  3 Te 2.04-2.25
Te 0.8126 0.6874 0.6874  7 O 2.04-2.25
Br 0.0000 0.0000 0.0000  2 O 2.59
O 0.3151 0.4484 0.9213  3 Te 2.04-2.25
Te 0.1874 0.3126 0.3126  7 O 2.04-2.25
O 0.0000 0.5000 0.5000  2 Te 2.23

=====

(4)
Pr2BO5 | GGA-PBE | relaxed

- raw total energy (eV per atom) = -7.867
- V (A^3/atom) = 20.51
- N(E_F) (states/eV/atom) = 0.462
- SG = Cmcm, No. 63

a = 4.4227 Å, b = 7.3547 Å, c = 10.5771 Å
α = 90.00°, β = 90.00°, γ = 107.50°
Closest atoms and distances in Å follow each position.
Atoms (fractional coordinates):
Pr 0.1423 0.2845 0.5250  5 O 2.32-2.40
O 0.6903 0.3806 0.5025  3 Pr 2.32-2.37
O 0.1193 0.2386 0.7500  1 B 1.40
O 0.9753 0.9507 0.6343  1 B 1.37
B 0.9805 0.9609 0.2500  3 O 1.37-1.40
Pr 0.1423 0.2845 0.9750  5 O 2.32-2.40
O 0.3097 0.6194 0.4975  3 Pr 2.32-2.37
O 0.0247 0.0493 0.3657  1 B 1.37
Pr 0.8577 0.7155 0.4750  5 O 2.32-2.40
O 0.9753 0.9507 0.8657  1 B 1.37
Pr 0.8577 0.7155 0.0250  5 O 2.32-2.40
O 0.0247 0.0493 0.1343  1 B 1.37
O 0.6903 0.3806 0.9975  3 Pr 2.32-2.37
B 0.0195 0.0391 0.7500  3 O 1.37-1.40
O 0.8807 0.7614 0.2500  1 B 1.40
O 0.3097 0.6194 0.0025  3 Pr 2.32-2.37

=====

(5)
La3Tb6Y2Sc | GGA-PBE | relaxed

- V (A^3/atom) = 32.56
- N(E_F) (states/eV/atom) = 1.497
- formation energy from the elements (eV per atom) = 0.03
- SG = C2/m, No. 12

a = 6.2124 Å, b = 6.2124 Å, c = 11.8773 Å
α = 95.01°, β = 95.01°, γ = 120.03°
Closest atoms and distances in Å follow each position.
Atoms (fractional coordinates):
Sc 0.0000 0.0000 0.0000  6 Tb 3.49-3.50, 6 Y 3.58-3.59
La 0.1668 0.8332 0.5000  6 La 3.58-3.59, 6 Tb 3.65-3.67
Y 0.3335 0.6665 0.0000  6 Tb 3.51-3.52, 3 Y 3.58-3.59, 3 Sc 3.58-3.59
Y 0.6665 0.3335 0.0000  6 Tb 3.51-3.52, 3 Y 3.58-3.59, 3 Sc 3.58-3.59
La 0.5000 0.5000 0.5000  6 La 3.59, 6 Tb 3.65-3.67
Tb 0.5902 0.9200 0.7578  1 Sc 3.49, 2 Y 3.51-3.52, 6 Tb 3.55-3.61, 3 La 3.65-3.67
Tb 0.2497 0.2497 0.7576  1 Sc 3.50, 2 Y 3.51, 6 Tb 3.55-3.61, 3 La 3.65-3.67
Tb 0.9200 0.5902 0.7578  1 Sc 3.49, 2 Y 3.51-3.52, 6 Tb 3.55-3.61, 3 La 3.65-3.67
Tb 0.0800 0.4098 0.2422  1 Sc 3.49, 2 Y 3.51-3.52, 6 Tb 3.55-3.61, 3 La 3.65-3.67
Tb 0.4098 0.0800 0.2422  1 Sc 3.49, 2 Y 3.51-3.52, 6 Tb 3.55-3.61, 3 La 3.65-3.67
La 0.8332 0.1668 0.5000  6 La 3.58-3.59, 6 Tb 3.65-3.67
Tb 0.7503 0.7503 0.2424  1 Sc 3.50, 2 Y 3.51, 6 Tb 3.55-3.61, 3 La 3.65-3.67

=====

(6)
CdPdS2 | GGA-PBE | relaxed

- raw total energy (eV per atom) = -3.714
- V (A^3/atom) = 22.21
- N(E_F) (states/eV/atom) = 0.614
- SG = R-3m, No. 166

a = 7.7569 Å, b = 7.7569 Å, c = 7.7569 Å
α = 27.66°, β = 27.66°, γ = 27.66°
Closest atoms and distances in Å follow each position.
Atoms (fractional coordinates):
Pd 0.5000 0.5000 0.5000  6 S 2.47
S 0.1119 0.1119 0.1119  3 Pd 2.47, 1 Cd 2.50
Cd 0.0000 0.0000 0.0000  2 S 2.50
S 0.8881 0.8881 0.8881  3 Pd 2.47, 1 Cd 2.50

=====

(7)
LaHgMo4 | GGA-PBE | relaxed

- V (A^3/atom) = 19.71
- N(E_F) (states/eV/atom) = 1.623
- formation energy from the elements (eV per atom) = 0.47
- SG = F-43m, No. 216

a = 5.5097 Å, b = 5.5097 Å, c = 5.5097 Å
α = 60.00°, β = 60.00°, γ = 60.00°
Closest atoms and distances in Å follow each position.
Atoms (fractional coordinates):
Mo 0.3748 0.3748 0.8757  6 Mo 2.75-2.76
Mo 0.3748 0.3748 0.3748  6 Mo 2.75-2.76
Mo 0.8757 0.3748 0.3748  6 Mo 2.75-2.76
La 0.0000 0.0000 0.0000  12 Mo 3.23, 4 Hg 3.37
Hg 0.7500 0.7500 0.7500  12 Mo 3.23, 4 La 3.37
Mo 0.3748 0.8757 0.3748  6 Mo 2.75-2.76

=====

(8)
Ca2PmThS4 | GGA-PBE | relaxed

- raw total energy (eV per atom) = -6.062
- V (A^3/atom) = 23.14
- N(E_F) (states/eV/atom) = 0.470
- SG = P2/m, No. 10

a = 3.9720 Å, b = 6.8982 Å, c = 7.1303 Å
α = 108.67°, β = 90.00°, γ = 90.00°
Closest atoms and distances in Å follow each position.
Atoms (fractional coordinates):
S 0.0000 0.7522 0.2579  3 Ca 2.82, 2 Th 2.88, 1 Pm 2.88
Pm 0.0000 0.0000 0.0000  6 S 2.88
S 0.0000 0.2478 0.7421  3 Ca 2.82, 2 Th 2.88, 1 Pm 2.88
Ca 0.5000 0.0000 0.5000  6 S 2.82-2.83
Ca 0.0000 0.5000 0.5000  6 S 2.82-2.83
S 0.5000 0.2527 0.2554  3 Ca 2.83, 1 Th 2.87, 2 Pm 2.88
Th 0.5000 0.5000 0.0000  6 S 2.87-2.88
S 0.5000 0.7473 0.7446  3 Ca 2.83, 1 Th 2.87, 2 Pm 2.88

=====

- Which value of N(E_F) does entry 3 give?
  0.291 states/eV/atom